Entry 1:
The following is a meta-GGA SCAN calculation of a PBEsol-optimized structure of Co2MoBr, from the Alexandria database.

Summary:
- energy above the most stable polymorph in this dataset (kJ/mol of atoms) = 38.90

a = 4.190 Å, b = 4.190 Å, c = 4.190 Å
α = 60.00°, β = 60.00°, γ = 60.00°
Last column: magnetic moment on the atom in μB.
Element x y z (fractional)
Mo: 0.250 0.250 0.250  -0.58
Co: 0.000 0.000 0.000  1.15
Co: 0.750 0.750 0.750  1.68
Br: 0.500 0.500 0.500  0.09

=====

Entry 2:
The following is a meta-GGA SCAN calculation of a PBEsol-optimized structure of CoMoBr2, from the Alexandria database.

Summary:
- energy above the most stable polymorph in this dataset (kJ/mol of atoms) = 84.59

a = 3.135 Å, b = 4.475 Å, c = 4.475 Å
α = 90.00°, β = 90.00°, γ = 90.00°
Last column: magnetic moment on the atom in μB.
Element x y z (fractional)
Mo: 0.500 0.000 0.000  1.86
Co: 0.500 0.500 0.500  1.87
Br: 0.000 0.000 0.500  0.06
Br: 0.000 0.500 0.000  0.06

=====

For each record above, in turn, the calculated formation energy (no corrections) values are 0.974, 0.989 eV per atom.
For each record above, in turn, the calculated total DFT energy (no corrections) values are -21.264, -21.788 eV/atom.